Record 1
# PBE-GGA NbI4Br, optimized geometry
# energy above the most stable polymorph in this dataset	0	meV per atom
data_NbI4Br
_chemical_formula_sum 'Nb4 I16 Br4'
_cell_length_a 15.269
_cell_length_b 8.942
_cell_length_c 7.516
_cell_angle_alpha 90.00
_cell_angle_beta 99.29
_cell_angle_gamma 90.00
_symmetry_space_group_name_H-M 'C 1 2/m 1'
_symmetry_Int_Tables_number 12
loop_
_symmetry_equiv_pos_as_xyz
'x,y,z'
'-x,-y,-z'
'-x,y,-z'
'x,-y,z'
'x+1/2,y+1/2,z'
'-x+1/2,-y+1/2,-z'
'-x+1/2,y+1/2,-z'
'x+1/2,-y+1/2,z'
loop_
_atom_site_label
_atom_site_type_symbol
_atom_site_fract_x
_atom_site_fract_y
_atom_site_fract_z
_atom_site_occupancy
Nb1 Nb 0.022 0.000 0.203 1
I1 I 0.000 0.202 0.500 1
I2 I 0.108 0.198 0.973 1
I3 I 0.208 0.000 0.348 1
Br1 Br 0.213 0.500 0.298 1

=====

Record 2
# PBE-GGA Na3Al2H9, optimized geometry
# VASP energy	-261.75	eV for the cell shown
data_Na3Al2H9
_chemical_formula_sum 'Na18 Al12 H54'
_cell_length_a 8.8998
_cell_length_b 8.8998
_cell_length_c 12.6502
_cell_angle_alpha 90.00
_cell_angle_beta 90.00
_cell_angle_gamma 120.00
_symmetry_space_group_name_H-M 'R -3 c'
_symmetry_Int_Tables_number 167
_symmetry_space_group_name_Hall '-R 3 2"c'
loop_
_atom_site_label
_atom_site_type_symbol
_atom_site_fract_x
_atom_site_fract_y
_atom_site_fract_z
_atom_site_occupancy
Na1 Na 0.0000 0.3347 0.2500 1
Al1 Al 0.0000 0.0000 0.1488 1
H1 H 0.0000 0.1492 0.7500 1
H2 H 0.0042 0.1725 0.4084 1

=====

Record 3
# PBE-GGA MgGa4Cu, optimized geometry
# formation enthalpy at 0 K	-0.033	eV per atom
data_MgGa4Cu
_chemical_formula_sum 'Mg4 Ga16 Cu4'
_cell_length_a 12.837
_cell_length_b 6.611
_cell_length_c 5.284
_cell_angle_alpha 90.00
_cell_angle_beta 106.07
_cell_angle_gamma 90.00
_symmetry_space_group_name_H-M 'C 1 2/m 1'
_symmetry_Int_Tables_number 12
loop_
_symmetry_equiv_pos_as_xyz
'x,y,z'
'-x,-y,-z'
'-x,y,-z'
'x,-y,z'
'x+1/2,y+1/2,z'
'-x+1/2,-y+1/2,-z'
'-x+1/2,y+1/2,-z'
'x+1/2,-y+1/2,z'
loop_
_atom_site_label
_atom_site_type_symbol
_atom_site_fract_x
_atom_site_fract_y
_atom_site_fract_z
_atom_site_occupancy
Mg1 Mg 0.217 0.000 0.157 1
Ga1 Ga 0.000 0.195 0.000 1
Ga2 Ga 0.117 0.203 0.557 1
Ga3 Ga 0.173 0.500 0.239 1
Cu1 Cu 0.047 0.500 0.763 1

=====

Record 4
# PBE-GGA NiMo2HRu, optimized geometry
# energy above the most stable polymorph in this dataset	0	meV per atom
data_NiMo2HRu
_chemical_formula_sum 'Ni1 Mo2 H1 Ru1'
_cell_length_a 3.917
_cell_length_b 3.917
_cell_length_c 3.818
_cell_angle_alpha 90.00
_cell_angle_beta 90.00
_cell_angle_gamma 90.00
_symmetry_space_group_name_H-M 'P 4/m m m'
_symmetry_Int_Tables_number 123
_symmetry_space_group_name_Hall '-P 4 2'
loop_
_atom_site_label
_atom_site_type_symbol
_atom_site_fract_x
_atom_site_fract_y
_atom_site_fract_z
_atom_site_occupancy
Ni1 Ni 0.000 0.000 0.000 1
Mo1 Mo 0.000 0.500 0.500 1
H1 H 0.000 0.000 0.500 1
Ru1 Ru 0.500 0.500 0.000 1

=====

Record 5
# PBE-GGA UPa2Cu, optimized geometry
# energy above the most stable polymorph in this dataset	52	meV per atom
# formation enthalpy at 0 K	0.248	eV per atom
data_UPa2Cu
_chemical_formula_sum 'U1 Pa2 Cu1'
_cell_length_a 4.606
_cell_length_b 4.606
_cell_length_c 3.960
_cell_angle_alpha 90.00
_cell_angle_beta 90.00
_cell_angle_gamma 90.00
_symmetry_space_group_name_H-M 'P 4/m m m'
_symmetry_Int_Tables_number 123
_symmetry_space_group_name_Hall '-P 4 2'
loop_
_atom_site_label
_atom_site_type_symbol
_atom_site_fract_x
_atom_site_fract_y
_atom_site_fract_z
_atom_site_occupancy
U1 U 0.000 0.000 0.000 1
Pa1 Pa 0.000 0.500 0.500 1
Cu1 Cu 0.500 0.500 0.000 1

=====

Record 6
# PBE-GGA NaLiTc3, optimized geometry
# energy above the most stable polymorph in this dataset	962	meV per atom
# formation enthalpy at 0 K	2.557	eV per atom
data_NaLiTc3
_chemical_formula_sum 'Na1 Li1 Tc3'
_cell_length_a 4.603
_cell_length_b 4.603
_cell_length_c 4.603
_cell_angle_alpha 90.00
_cell_angle_beta 90.00
_cell_angle_gamma 90.00
_symmetry_space_group_name_H-M 'P m -3 m'
_symmetry_Int_Tables_number 221
_symmetry_space_group_name_Hall '-P 4 2 3'
loop_
_atom_site_label
_atom_site_type_symbol
_atom_site_fract_x
_atom_site_fract_y
_atom_site_fract_z
_atom_site_occupancy
Na1 Na 0.000 0.000 0.000 1
Li1 Li 0.500 0.500 0.500 1
Tc1 Tc 0.000 0.000 0.500 1

=====

Please write out number 6 again, unchanged.
# PBE-GGA NaLiTc3, optimized geometry
# energy above the most stable polymorph in this dataset	962	meV per atom
# formation enthalpy at 0 K	2.557	eV per atom
data_NaLiTc3
_chemical_formula_sum 'Na1 Li1 Tc3'
_cell_length_a 4.603
_cell_length_b 4.603
_cell_length_c 4.603
_cell_angle_alpha 90.00
_cell_angle_beta 90.00
_cell_angle_gamma 90.00
_symmetry_space_group_name_H-M 'P m -3 m'
_symmetry_Int_Tables_number 221
_symmetry_space_group_name_Hall '-P 4 2 3'
loop_
_atom_site_label
_atom_site_type_symbol
_atom_site_fract_x
_atom_site_fract_y
_atom_site_fract_z
_atom_site_occupancy
Na1 Na 0.000 0.000 0.000 1
Li1 Li 0.500 0.500 0.500 1
Tc1 Tc 0.000 0.000 0.500 1